Computed, not measured: a geometry-optimized LaTiI3 structure at the PBE level of DFT.

Values from the calculation:
* VASP energy: -3.645 eV/atom
* relative energy among the computed polymorphs: 0.158 eV per atom
* formation energy without anion corrections: -151 meV/atom
* magnetization: 3.966 μB per formula unit

Unit cell a=6.2657 b=6.2657 c=6.2657 alpha=90.00 beta=90.00 gamma=90.00
Fractional positions:
La 0.0000 0.0000 0.0000
Ti 0.5000 0.5000 0.5000
I 0.0000 0.0000 0.5000
I 0.0000 0.5000 0.0000
I 0.5000 0.0000 0.0000